(1)
Entry from Alexandria: PaPbWN4 after structural relaxation (PBE).

Unit cell a=6.092 b=5.676 c=7.697 alpha=90.00 beta=114.80 gamma=90.00
Atoms (fractional coordinates):
Pa 0.772 0.750 0.446
Pa 0.228 0.250 0.554
Pb 0.607 0.750 0.901
Pb 0.393 0.250 0.099
W 0.198 0.750 0.304
W 0.802 0.250 0.696
N 0.003 0.494 0.682
N 0.997 0.994 0.318
N 0.997 0.506 0.318
N 0.003 0.006 0.682
N 0.425 0.750 0.184
N 0.575 0.250 0.816
N 0.451 0.750 0.550
N 0.549 0.250 0.450

Density of states at the Fermi level   6.0 states/eV per cell
SG   P2_1/m
VASP energy   -8.9788 eV/atom
ΔE_f (raw)   -0.485 eV per atom
Magnetization   0.00 μB/f.u.

---

(2)
Entry from Alexandria: TbPr3Nd6 after structural relaxation (PBE).

Unit cell a=6.545 b=11.223 c=11.223 alpha=120.76 beta=90.00 gamma=90.00
Atoms (fractional coordinates):
Tb 0.112 0.191 0.809
Tb 0.612 0.809 0.191
Pr 0.462 0.942 0.708
Pr 0.962 0.708 0.942
Pr 0.081 0.384 0.616
Pr 0.581 0.616 0.384
Pr 0.962 0.058 0.292
Pr 0.462 0.292 0.058
Nd 0.058 0.712 0.629
Nd 0.558 0.629 0.712
Nd 0.371 0.525 0.942
Nd 0.871 0.942 0.525
Nd 0.359 0.966 0.034
Nd 0.650 0.277 0.723
Nd 0.150 0.723 0.277
Nd 0.859 0.034 0.966
Nd 0.371 0.058 0.475
Nd 0.871 0.475 0.058
Nd 0.058 0.371 0.288
Nd 0.558 0.288 0.371

Density of states at the Fermi level   26.3 states/eV per cell
SG   Cmc2_1
VASP energy   -4.6262 eV/atom
Energy of formation   0.131 eV per atom
Distance to the lowest polymorph of the same formula   0.0 kJ/mol of atoms
Magnetization   0.00 μB/f.u.

---

(3)
Entry from Alexandria: MnCoIr after structural relaxation (PBE).

Unit cell a=5.666 b=5.666 c=5.666 alpha=153.32 beta=153.32 gamma=38.09
Each line ends with the local moment (μB).
Atoms (fractional coordinates):
Co 0.006 0.006 0.000  -0.61
Ir 0.332 0.332 0.000  -0.19
Mn 0.663 0.663 0.000  1.47

Density of states at the Fermi level   4.0 states/eV per cell
SG   I4mm
VASP energy   -8.3626 eV/atom
Energy of formation   0.016 eV per atom
Distance to the lowest polymorph of the same formula   7.5 kJ/mol of atoms
Magnetization   0.73 μB/f.u.

---

(4)
Entry from Alexandria: U3MnS6 after structural relaxation (PBE).

Unit cell a=6.506 b=8.374 c=8.374 alpha=101.73 beta=90.00 gamma=90.00
Each line ends with the local moment (μB).
Atoms (fractional coordinates):
U 0.482 0.922 0.725  2.47
U 0.982 0.725 0.922  2.47
U 0.386 0.399 0.601  2.44
U 0.886 0.601 0.399  2.44
U 0.982 0.078 0.275  2.47
U 0.482 0.275 0.078  2.47
Mn 0.017 0.196 0.804  3.93
Mn 0.517 0.804 0.196  3.93
S 0.184 0.695 0.629  -0.08
S 0.684 0.629 0.695  -0.08
S 0.203 0.438 0.904  -0.03
S 0.703 0.904 0.438  -0.03
S 0.181 0.031 0.969  -0.04
S 0.662 0.227 0.773  -0.05
S 0.162 0.773 0.227  -0.05
S 0.681 0.969 0.031  -0.04
S 0.203 0.096 0.562  -0.03
S 0.703 0.562 0.096  -0.03
S 0.184 0.371 0.305  -0.08
S 0.684 0.305 0.371  -0.08

Density of states at the Fermi level   39.4 states/eV per cell
SG   Cmc2_1
VASP energy   -8.0078 eV/atom
ΔE_f (raw)   -1.228 eV per atom
Magnetization   12.34 μB/f.u.

---

(5)
Entry from Alexandria: Na3GaN after structural relaxation (PBE).

Unit cell a=4.782 b=4.782 c=4.782 alpha=90.00 beta=90.00 gamma=90.00
Atoms (fractional coordinates):
Na 0.000 0.500 0.000
Na 0.000 0.000 0.500
Na 0.500 0.000 0.000
Ga 0.500 0.500 0.500
N 0.000 0.000 0.000

Density of states at the Fermi level   4.4 states/eV per cell
SG   Pm-3m
VASP energy   -2.6885 eV/atom
ΔE_f (raw)   0.373 eV per atom
Distance to the lowest polymorph of the same formula   0.0 kJ/mol of atoms
Magnetization   0.00 μB/f.u.

---

(6)
Entry from Alexandria: LaNd2Y2Ho2 after structural relaxation (PBE).

Unit cell a=3.544 b=6.190 c=11.919 alpha=72.42 beta=90.00 gamma=106.63
Atoms (fractional coordinates):
La 0.000 0.000 0.500
Nd 0.672 0.345 0.915
Nd 0.328 0.655 0.085
Y 0.451 0.902 0.774
Y 0.549 0.098 0.226
Ho 0.774 0.549 0.362
Ho 0.226 0.451 0.638

Density of states at the Fermi level   12.4 states/eV per cell
SG   C2/m
VASP energy   -5.1306 eV/atom
Energy of formation   0.090 eV per atom
Magnetization   0.00 μB/f.u.